Entry from the Alexandria database: an optimized crystal structure of Li4CoNi3O8 (PBEsol).

a b c (Å): 9.7811 5.7340 5.6960
angles (deg): 90.00 125.34 90.00
Space group C2/m (No. 12)
Inequivalent atoms, fractional coordinates:
Li 0.0000 0.0000 0.0000 (multiplicity 2)
Li 0.0000 0.5000 0.0000 (multiplicity 2)
Li 0.2500 0.2500 0.5000 (multiplicity 4)
Co 0.0000 0.0000 0.5000 (multiplicity 2)
Ni 0.0000 0.5000 0.5000 (multiplicity 2)
Ni 0.2500 0.2500 0.0000 (multiplicity 4)
O 0.0092 0.2379 0.7388 (multiplicity 8)
O 0.2378 0.0000 0.7404 (multiplicity 4)
O 0.2392 0.5000 0.7708 (multiplicity 4)

As for the energy relative to the elements, uncorrected: -1357 meV/atom. The crystal system is monoclinic. For the total energy, the calculation gives -97.786 eV/f.u. As for the density of states at the Fermi level: 0.4298 states/eV/atom. The spin magnetization comes out at 3.0 μB/f.u.

Entry from the Alexandria database: an optimized crystal structure of Li3CoNi3O8 (PBEsol).

a b c (Å): 5.5948 5.6863 14.0371
angles (deg): 89.44 89.99 60.55
Space group P-1 (No. 2)
Inequivalent atoms, fractional coordinates:
Li 0.0000 0.0000 0.0000 (multiplicity 1)
Li 0.0000 0.5000 0.0000 (multiplicity 1)
Li 0.1668 0.1654 0.6673 (multiplicity 2)
Li 0.1672 0.6688 0.6667 (multiplicity 2)
Li 0.3359 0.3308 0.3334 (multiplicity 2)
Li 0.5000 0.0000 0.0000 (multiplicity 1)
Co 0.0000 0.5000 0.5000 (multiplicity 1)
Co 0.3333 0.8322 0.8366 (multiplicity 2)
Ni 0.0000 0.0000 0.5000 (multiplicity 1)
Ni 0.1681 0.1651 0.1693 (multiplicity 2)
Ni 0.1690 0.6663 0.1666 (multiplicity 2)
Ni 0.3342 0.3336 0.8335 (multiplicity 2)
Ni 0.5000 0.0000 0.5000 (multiplicity 1)
Ni 0.5000 0.5000 0.5000 (multiplicity 1)
O 0.0013 0.4979 0.2383 (multiplicity 2)
O 0.0158 0.9841 0.7615 (multiplicity 2)
O 0.1482 0.6840 0.9062 (multiplicity 2)
O 0.1562 0.1846 0.4297 (multiplicity 2)
O 0.1683 0.6590 0.4295 (multiplicity 2)
O 0.1707 0.1586 0.9053 (multiplicity 2)
O 0.3263 0.8470 0.5734 (multiplicity 2)
O 0.3279 0.3385 0.5702 (multiplicity 2)
O 0.3286 0.8446 0.0994 (multiplicity 2)
O 0.3332 0.3169 0.0940 (multiplicity 2)
O 0.4895 0.5188 0.7662 (multiplicity 2)
O 0.5004 0.0169 0.2388 (multiplicity 2)

As for the energy relative to the elements, uncorrected: -1267 meV/atom. The crystal system is triclinic. For the total energy, the calculation gives -93.104 eV/f.u. As for the density of states at the Fermi level: 0.3580 states/eV/atom. The spin magnetization comes out at 2.0 μB/f.u.

Entry from the Alexandria database: an optimized crystal structure of Li10Co3Ni7O20 (PBEsol).

a b c (Å): 22.1868 2.7990 11.2953
angles (deg): 90.00 111.78 90.00
Space group C2/m (No. 12)
Inequivalent atoms, fractional coordinates:
Li 0.0009 0.0000 0.2531 (multiplicity 4)
Li 0.0996 0.5000 0.4459 (multiplicity 4)
Li 0.1014 0.5000 0.9514 (multiplicity 4)
Li 0.1995 0.0000 0.1474 (multiplicity 4)
Li 0.2000 0.0000 0.6494 (multiplicity 4)
Co 0.0000 0.0000 0.5000 (multiplicity 2)
Co 0.0996 0.5000 0.1985 (multiplicity 4)
Ni 0.0000 0.0000 0.0000 (multiplicity 2)
Ni 0.0979 0.5000 0.6987 (multiplicity 4)
Ni 0.1986 0.0000 0.3997 (multiplicity 4)
Ni 0.1996 0.0000 0.8986 (multiplicity 4)
O 0.0004 0.5000 0.3879 (multiplicity 4)
O 0.0078 0.5000 0.1196 (multiplicity 4)
O 0.0919 0.0000 0.5797 (multiplicity 4)
O 0.0989 0.0000 0.0845 (multiplicity 4)
O 0.0993 0.0000 0.3109 (multiplicity 4)
O 0.0995 0.0000 0.8139 (multiplicity 4)
O 0.1915 0.5000 0.2792 (multiplicity 4)
O 0.1976 0.5000 0.7818 (multiplicity 4)
O 0.2008 0.5000 0.0136 (multiplicity 4)
O 0.2013 0.5000 0.5171 (multiplicity 4)

As for the energy relative to the elements, uncorrected: -1366 meV/atom. The crystal system is monoclinic. For the total energy, the calculation gives -245.607 eV/f.u. As for the density of states at the Fermi level: 0.3385 states/eV/atom. The spin magnetization comes out at 7.0 μB/f.u.

Entry from the Alexandria database: an optimized crystal structure of Li4Co3Ni3O12 (PBEsol).

a b c (Å): 5.6144 5.7419 6.3561
angles (deg): 104.70 102.23 90.54
Space group P-1 (No. 2)
Inequivalent atoms, fractional coordinates:
Li 0.0000 0.0000 0.0000 (multiplicity 1)
Li 0.2012 0.6419 0.6440 (multiplicity 2)
Li 0.5000 0.0000 0.0000 (multiplicity 1)
Co 0.1675 0.1676 0.6640 (multiplicity 2)
Co 0.5000 0.5000 0.0000 (multiplicity 1)
Ni 0.0000 0.5000 0.0000 (multiplicity 1)
Ni 0.3335 0.8333 0.3335 (multiplicity 2)
O 0.0718 0.6089 0.3170 (multiplicity 2)
O 0.0849 0.0558 0.3491 (multiplicity 2)
O 0.2470 0.2686 0.9754 (multiplicity 2)
O 0.2580 0.7299 0.0129 (multiplicity 2)
O 0.4052 0.9419 0.6498 (multiplicity 2)
O 0.4234 0.3897 0.6893 (multiplicity 2)

As for the energy relative to the elements, uncorrected: -1290 meV/atom. The crystal system is triclinic. For the total energy, the calculation gives -140.932 eV/f.u. As for the density of states at the Fermi level: 0.2476 states/eV/atom. The spin magnetization comes out at 1.0 μB/f.u.

Entry from the Alexandria database: an optimized crystal structure of Li2Co3NiO8 (PBEsol).

a b c (Å): 9.6332 5.6001 5.7016
angles (deg): 90.00 123.98 90.00
Space group C2/m (No. 12)
Inequivalent atoms, fractional coordinates:
Li 0.0000 0.0000 0.0000 (multiplicity 2)
Li 0.0000 0.5000 0.0000 (multiplicity 2)
Co 0.0000 0.0000 0.5000 (multiplicity 2)
Co 0.2500 0.2500 0.5000 (multiplicity 4)
Ni 0.0000 0.5000 0.5000 (multiplicity 2)
O 0.0163 0.2500 0.2931 (multiplicity 8)
O 0.2336 0.0000 0.6987 (multiplicity 4)
O 0.2352 0.5000 0.7008 (multiplicity 4)

As for the energy relative to the elements, uncorrected: -1255 meV/atom. The crystal system is monoclinic. For the total energy, the calculation gives -92.873 eV/f.u. As for the density of states at the Fermi level: 0.4615 states/eV/atom. The spin magnetization comes out at 1.1 μB/f.u.

Entry from the Alexandria database: an optimized crystal structure of Li2Co3NiO8 (PBEsol).

a b c (Å): 9.5990 5.6055 5.6847
angles (deg): 90.00 123.81 90.00
Space group C2/m (No. 12)
Inequivalent atoms, fractional coordinates:
Li 0.2500 0.2500 0.0000 (multiplicity 4)
Co 0.0000 0.0000 0.5000 (multiplicity 2)
Co 0.2500 0.2500 0.5000 (multiplicity 4)
Ni 0.0000 0.5000 0.5000 (multiplicity 2)
O 0.0156 0.2486 0.2987 (multiplicity 8)
O 0.2340 0.0000 0.7064 (multiplicity 4)
O 0.2340 0.5000 0.7073 (multiplicity 4)

As for the energy relative to the elements, uncorrected: -1265 meV/atom. The crystal system is monoclinic. For the total energy, the calculation gives -93.006 eV/f.u. As for the density of states at the Fermi level: 0.5109 states/eV/atom. The spin magnetization comes out at 1.1 μB/f.u.

> Among the records above, which one has the lowest density of states at the Fermi level?

Li4Co3Ni3O12